A relaxed TaIrRh2 crystal, computed with GGA-PBE. Values from VASP.

The value obtained for the formation energy is -0.36 eV per atom. The space group is Pmmm, No. 47. For the offset from the most stable computed form, the calculation gives 0.271 eV/atom.

```
&SYSTEM
  ibrav = 0, nat = 4, ntyp = 3
/
ATOMIC_SPECIES
Ta 180.95 Ta.upf
Ir 192.22 Ir.upf
Rh 102.91 Rh.upf
ATOMIC_POSITIONS angstrom
Ta 0.0000 0.0000 0.0000
Ir 0.0000 0.0000 2.7738
Rh 1.3987 1.9456 1.4308
Rh 1.3987 1.9456 4.1169
CELL_PARAMETERS angstrom
2.7974 0.0000 0.0000
0.0000 3.8912 0.0000
0.0000 0.0000 5.5477
```

=====

A relaxed Ta4Ir5Rh4 crystal, computed with GGA-PBE. Values from VASP.

The value obtained for the formation energy is -0.57 eV per atom. The space group is I4/m, No. 87.

```
&SYSTEM
  ibrav = 0, nat = 13, ntyp = 3
/
ATOMIC_SPECIES
Ta 180.95 Ta.upf
Ir 192.22 Ir.upf
Rh 102.91 Rh.upf
ATOMIC_POSITIONS angstrom
Ta 7.7163 1.3476 0.0000
Ta 1.3476 2.3618 0.0000
Ta 3.6915 2.6773 1.9782
Ta -2.6773 3.6915 1.9782
Ir 0.0000 0.0000 0.0000
Ir 5.5387 3.1198 0.0000
Ir 3.1198 4.5394 0.0000
Ir 1.9192 0.4997 1.9782
Ir -0.4997 1.9192 1.9782
Rh 3.8631 0.8728 0.0000
Rh 4.1662 -1.1760 1.9782
Rh 0.8728 6.2150 0.0000
Rh 1.1760 4.1662 1.9782
CELL_PARAMETERS angstrom
-5.0390 5.0390 1.9782
5.0390 -5.0390 1.9782
5.0390 5.0390 -1.9782
```

=====

A relaxed Ta3Ir2Rh crystal, computed with GGA-PBE. Values from VASP.

The value obtained for the formation energy is -0.56 eV per atom. The space group is P4/mmm, No. 123.

```
&SYSTEM
  ibrav = 0, nat = 6, ntyp = 3
/
ATOMIC_SPECIES
Ta 180.95 Ta.upf
Ir 192.22 Ir.upf
Rh 102.91 Rh.upf
ATOMIC_POSITIONS angstrom
Ta 0.0000 0.0000 0.0000
Ta 0.0000 0.0000 3.8661
Ta 0.0000 0.0000 7.7122
Ir 1.4431 1.4431 1.9427
Ir 1.4431 1.4431 9.6356
Rh 1.4431 1.4431 5.7892
CELL_PARAMETERS angstrom
2.8862 0.0000 0.0000
0.0000 2.8862 0.0000
0.0000 0.0000 11.5783
```

=====

A relaxed TaIr2Rh3 crystal, computed with GGA-PBE. Values from VASP.

The value obtained for the formation energy is -0.10 eV per atom. The space group is Cmcm, No. 63.

```
&SYSTEM
  ibrav = 0, nat = 12, ntyp = 3
/
ATOMIC_SPECIES
Ta 180.95 Ta.upf
Ir 192.22 Ir.upf
Rh 102.91 Rh.upf
ATOMIC_POSITIONS angstrom
Ta 2.7507 4.6501 3.7900
Ta 2.7507 -4.6501 1.2633
Ir 1.4094 0.0000 0.0000
Ir 1.4094 0.0000 2.5267
Ir 4.0921 0.0000 0.0000
Ir 4.0921 0.0000 2.5267
Rh 1.3610 2.3810 3.7900
Rh 2.7507 2.0101 1.2633
Rh 1.3610 -2.3810 1.2633
Rh 4.1405 2.3810 3.7900
Rh 2.7507 -2.0101 3.7900
Rh 4.1405 -2.3810 1.2633
CELL_PARAMETERS angstrom
2.7507 -6.6733 0.0000
2.7507 6.6733 0.0000
0.0000 0.0000 5.0534
```

=====

A relaxed TaIrRh2 crystal, computed with GGA-PBE. Values from VASP.

The value obtained for the formation energy is -0.20 eV per atom. The space group is P4/mmm, No. 123. For the offset from the most stable computed form, the calculation gives 0.433 eV/atom.

```
&SYSTEM
  ibrav = 0, nat = 4, ntyp = 3
/
ATOMIC_SPECIES
Ta 180.95 Ta.upf
Ir 192.22 Ir.upf
Rh 102.91 Rh.upf
ATOMIC_POSITIONS angstrom
Ta 0.0000 0.0000 0.0000
Ir 0.0000 0.0000 3.9452
Rh 1.3854 1.3854 2.0176
Rh 1.3854 1.3854 5.8729
CELL_PARAMETERS angstrom
2.7709 0.0000 0.0000
0.0000 2.7709 0.0000
0.0000 0.0000 7.8905
```

=====

A relaxed Ta2Ir3Rh crystal, computed with GGA-PBE. Values from VASP.

The value obtained for the formation energy is -0.12 eV per atom. The space group is I4_1/amd, No. 141.

```
&SYSTEM
  ibrav = 0, nat = 24, ntyp = 3
/
ATOMIC_SPECIES
Ta 180.95 Ta.upf
Ir 192.22 Ir.upf
Rh 102.91 Rh.upf
ATOMIC_POSITIONS angstrom
Ta 4.1963 0.4855 2.5632
Ta 2.5837 2.0982 0.3464
Ta 5.8090 2.0982 0.3464
Ta 0.0000 0.4855 3.2559
Ta 4.1963 3.7108 2.5632
Ta -1.6127 2.0982 5.4728
Ta 1.6127 2.0982 5.4728
Ta 0.0000 3.7108 3.2559
Ir 4.1963 0.0000 0.0000
Ir 1.8097 -0.2885 1.4548
Ir 6.5830 -0.2885 1.4548
Ir 1.8097 3.9079 -1.4548
Ir 2.3866 -0.2885 4.3644
Ir -2.0982 2.0982 2.9096
Ir 0.0000 0.0000 5.8192
Ir 2.0982 2.0982 2.9096
Ir 1.8097 4.4848 1.4548
Ir 2.3866 0.2885 7.2740
Ir -2.3866 4.4848 4.3644
Ir 2.3866 4.4848 4.3644
Rh 4.1963 -2.0982 2.9841
Rh 4.1963 -2.0982 5.7446
Rh 0.0000 6.2945 0.0745
Rh 0.0000 6.2945 2.8350
CELL_PARAMETERS angstrom
-4.1963 4.1963 5.8192
4.1963 -4.1963 5.8192
4.1963 4.1963 -5.8192
```